Computed, not measured: an optimized crystal structure of NdTl2WO6 at the GGA+U level of DFT.

Output
E_tot ... -6.441 eV/atom

Lattice parameters (Å, degrees): 6.4869 6.4869 31.7540 90.00 90.00 120.00
Last column: nearest neighbours and their distance in Å.
Space group R-3m (No. 166, hexagonal axes)
Inequivalent atoms, fractional coordinates:
Nd 0.0000 0.0000 0.1047 x6  6 O 2.30-2.56
Tl 0.0000 0.0000 0.3083 x6  3 O 2.29
Tl 0.0000 0.0000 0.4022 x6  3 O 2.50
W 0.0000 0.0000 0.0000 x3  6 O 1.96
W 0.0000 0.0000 0.5000 x3  6 O 1.97
O 0.0516 0.5258 0.2035 x18  1 W 1.97
O 0.0654 0.5327 0.6271 x18  1 W 1.96

---

Computed, not measured: an optimized crystal structure of NdTlW2O8 at the GGA+U level of DFT.

Output
Energy above the lowest structure with this stoichiometry ... 120 meV/atom

Lattice parameters (Å, degrees): 5.6459 5.6459 26.2544 90.00 90.00 120.00
Last column: nearest neighbours and their distance in Å.
Space group R32 (No. 155, hexagonal axes)
Inequivalent atoms, fractional coordinates:
Nd 0.0000 0.0000 0.0000 x3  6 O 2.37
Tl 0.0000 0.0000 0.5000 x3  12 O 3.30-3.57
W 0.0000 0.0000 0.2532 x6  4 O 1.79-1.83
O 0.0000 0.0000 0.1852 x6  1 W 1.79
O 0.0140 0.3789 0.3901 x18  1 W 1.83

---

Computed, not measured: an optimized crystal structure of NdTl2WO8 at the GGA+U level of DFT.

Output
E_tot ... -6.241 eV/atom

Lattice parameters (Å, degrees): 7.1485 7.2273 6.9391 90.00 90.00 90.00
Last column: nearest neighbours and their distance in Å.
Space group Cmmm (No. 65)
Inequivalent atoms, fractional coordinates:
Nd 0.0000 0.0000 0.0000 x2  6 O 2.26-2.42
Tl 0.0000 0.5000 0.2594 x4  6 O 2.23-2.32
W 0.0000 0.0000 0.5000 x2  6 O 1.94-2.00
O 0.0000 0.1807 0.2933 x8  1 W 1.94
O 0.1845 0.5000 0.0000 x4  2 Tl 2.23, 1 Nd 2.26
O 0.2208 0.5000 0.5000 x4  1 W 2.00

---

Computed, not measured: an optimized crystal structure of NdTlW2O8 at the GGA+U level of DFT.

Output
Energy above the lowest structure with this stoichiometry ... 0 meV/atom

Lattice parameters (Å, degrees): 11.1130 10.9443 7.5495 90.00 130.28 90.00
Last column: nearest neighbours and their distance in Å.
Space group C2/c (No. 15)
Inequivalent atoms, fractional coordinates:
Nd 0.0000 0.2244 0.2500 x4  6 O 2.38-2.41
Tl 0.0000 0.2155 0.7500 x4  10 O 2.91-3.18
W 0.1934 0.4952 0.2167 x8  4 O 1.83-2.01
O 0.0197 0.3925 0.4718 x8  2 W 2.01-2.13
O 0.1368 0.0871 0.1894 x8  1 W 1.83
O 0.1856 0.4388 0.9408 x8  2 W 1.89-2.12
O 0.2213 0.1538 0.6326 x8  1 W 1.86

---

Computed, not measured: an optimized crystal structure of NdTl3W2O9 at the GGA+U level of DFT.

Output
E_tot ... -6.589 eV/atom

Lattice parameters (Å, degrees): 5.9457 5.9457 7.4380 90.00 90.00 120.00
Last column: nearest neighbours and their distance in Å.
Space group P-3m1 (No. 164)
Inequivalent atoms, fractional coordinates:
Nd 0.0000 0.0000 0.0000 x1  6 O 2.38
Tl 0.0000 0.0000 0.5000 x1  12 O 2.92-2.97
Tl 0.3333 0.6667 0.1772 x2  12 O 2.95-3.20
W 0.3333 0.6667 0.6594 x2  6 O 1.89-2.09
O 0.0000 0.5000 0.5000 x3  2 W 2.09
O 0.1812 0.3623 0.8016 x6  1 W 1.89

---

Going through the records in order, we get DOS(E_F) values of 2.76; 0.00; 5.72; 0.00; 0.00 states/eV/f.u..